The following is a DFT calculation (GGA-PBE) of a geometry-optimized LiAc3Er3S8 structure.

abc: 8.2177 8.2177 8.2177
angles: 58.19 58.19 58.19
Last column: nearest neighbours and their distance in Å.
Fractional positions:
Li 0.0000 0.0000 0.0000  6 S 2.77
Ac 0.0000 0.0000 0.5000  6 S 2.99-3.00
Ac 0.0000 0.5000 0.0000  6 S 2.99-3.00
Ac 0.5000 0.0000 0.0000  6 S 2.99-3.00
Er 0.0000 0.5000 0.5000  6 S 2.74-2.75
Er 0.5000 0.0000 0.5000  6 S 2.74-2.75
Er 0.5000 0.5000 0.0000  6 S 2.74-2.75
S 0.2419 0.2419 0.7375  2 Er 2.75, 1 Li 2.77, 2 Ac 2.99
S 0.2419 0.7375 0.2419  2 Er 2.75, 1 Li 2.77, 2 Ac 2.99
S 0.2607 0.2607 0.2607  3 Er 2.74, 3 Ac 3.00
S 0.2625 0.7581 0.7581  2 Er 2.75, 1 Li 2.77, 2 Ac 2.99
S 0.7375 0.2419 0.2419  2 Er 2.75, 1 Li 2.77, 2 Ac 2.99
S 0.7393 0.7393 0.7393  3 Er 2.74, 3 Ac 3.00
S 0.7581 0.2625 0.7581  2 Er 2.75, 1 Li 2.77, 2 Ac 2.99
S 0.7581 0.7581 0.2625  2 Er 2.75, 1 Li 2.77, 2 Ac 2.99

Properties
* space group: R-3m (166)
* calculated volume: 376.14 Å³/cell
* total energy: -0.443 Ry/atom
* crystal system: trigonal
* formation energy without anion corrections: -1964 meV per atom

=====

The following is a DFT calculation (GGA-PBE) of a geometry-optimized Sc5Hg4Au2 structure.

abc: 7.7531 17.5901 3.4275
angles: 90.00 90.00 90.00
Last column: nearest neighbours and their distance in Å.
Fractional positions:
Sc 0.0000 0.0000 0.0000  8 Hg 3.03-3.09, 2 Sc 3.28
Sc 0.1180 0.4193 0.0000  2 Au 2.77, 4 Hg 3.08
Sc 0.2379 0.2106 0.0000  4 Au 2.84-2.86, 2 Hg 3.16
Sc 0.2621 0.7106 0.0000  4 Au 2.84-2.86, 2 Hg 3.16
Sc 0.3820 0.9193 0.0000  2 Au 2.77, 4 Hg 3.08
Sc 0.5000 0.5000 0.0000  8 Hg 3.03-3.09, 2 Sc 3.28
Sc 0.6180 0.0807 0.0000  2 Au 2.77, 4 Hg 3.08
Sc 0.7379 0.2894 0.0000  4 Au 2.84-2.86, 2 Hg 3.16
Sc 0.7621 0.7894 0.0000  4 Au 2.84-2.86, 2 Hg 3.16
Sc 0.8820 0.5807 0.0000  2 Au 2.77, 4 Hg 3.08
Hg 0.0823 0.8583 0.5000  2 Au 2.95-3.16, 6 Sc 3.08-3.25, 1 Hg 3.22
Hg 0.2085 0.5614 0.5000  8 Sc 3.03-3.16, 1 Au 3.04, 1 Hg 3.22
Hg 0.2915 0.0614 0.5000  8 Sc 3.03-3.16, 1 Au 3.04, 1 Hg 3.22
Hg 0.4177 0.3583 0.5000  2 Au 2.95-3.16, 6 Sc 3.08-3.25, 1 Hg 3.22
Hg 0.5823 0.6417 0.5000  2 Au 2.95-3.16, 6 Sc 3.08-3.25, 1 Hg 3.22
Hg 0.7085 0.9386 0.5000  8 Sc 3.03-3.16, 1 Au 3.04, 1 Hg 3.22
Hg 0.7915 0.4386 0.5000  8 Sc 3.03-3.16, 1 Au 3.04, 1 Hg 3.22
Hg 0.9177 0.1417 0.5000  2 Au 2.95-3.16, 6 Sc 3.08-3.25, 1 Hg 3.22
Au 0.0315 0.3017 0.5000  6 Sc 2.77-2.86, 2 Hg 2.95-3.04
Au 0.4685 0.8017 0.5000  6 Sc 2.77-2.86, 2 Hg 2.95-3.04
Au 0.5315 0.1983 0.5000  6 Sc 2.77-2.86, 2 Hg 2.95-3.04
Au 0.9685 0.6983 0.5000  6 Sc 2.77-2.86, 2 Hg 2.95-3.04

Properties
* space group: Pbam (55)
* calculated volume: 467.43 Å³/cell
* total energy: -0.303 Ry/atom
* crystal system: orthorhombic
* energy relative to the elements: -52 kJ per mole of atoms

=====

The following is a DFT calculation (GGA-PBE) of a geometry-optimized TiBe8Cu3 structure.

abc: 4.3015 4.3015 7.1894
angles: 90.00 90.00 120.00
Last column: nearest neighbours and their distance in Å.
Fractional positions:
Ti 0.0000 0.0000 0.0000  12 Be 2.52-2.59, 4 Cu 2.64-2.70
Be 0.0035 0.5017 0.2019  6 Be 2.13-2.24
Be 0.1651 0.3301 0.6862  6 Be 2.13-2.23
Be 0.1651 0.8349 0.6862  6 Be 2.13-2.23
Be 0.3333 0.6667 0.4475  6 Be 2.13-2.15
Be 0.3333 0.6667 0.9419  6 Be 2.23-2.24
Be 0.4983 0.5017 0.2019  6 Be 2.13-2.24
Be 0.4983 0.9965 0.2019  6 Be 2.13-2.24
Be 0.6699 0.8349 0.6862  6 Be 2.13-2.23
Cu 0.0000 0.0000 0.3750  12 Be 2.48-2.55, 3 Cu 2.64, 1 Ti 2.70
Cu 0.6667 0.3333 0.5005  12 Be 2.49-2.53, 4 Cu 2.64-2.69
Cu 0.6667 0.3333 0.8750  12 Be 2.53-2.66, 3 Ti 2.64, 1 Cu 2.69

Properties
* space group: P3m1 (156)
* calculated volume: 115.20 Å³/cell
* total energy: -0.313 Ry/atom
* crystal system: trigonal
* energy relative to the elements: -9 kJ per mole of atoms

=====

The following is a DFT calculation (GGA-PBE) of a geometry-optimized PaBi2Pt structure.

abc: 4.7846 4.7846 4.2680
angles: 90.00 90.00 90.00
Last column: nearest neighbours and their distance in Å.
Fractional positions:
Pa 0.0000 0.0000 0.0000  8 Bi 3.21, 4 Pt 3.38
Bi 0.0000 0.5000 0.5000  4 Pa 3.21, 4 Pt 3.21, 4 Bi 3.38
Bi 0.5000 0.0000 0.5000  4 Pa 3.21, 4 Pt 3.21, 4 Bi 3.38
Pt 0.5000 0.5000 0.0000  8 Bi 3.21, 4 Pa 3.38

Properties
* space group: P4/mmm (123)
* calculated volume: 97.71 Å³/cell
* total energy: -0.449 Ry/atom
* crystal system: tetragonal
* energy relative to the elements: -27 kJ per mole of atoms

=====

The following is a DFT calculation (GGA-PBE) of a geometry-optimized ScAlSb2 structure.

abc: 7.7023 7.7023 7.7023
angles: 129.46 129.46 74.28
Last column: nearest neighbours and their distance in Å.
Fractional positions:
Sc 0.0000 0.0000 0.0000  4 Sb 2.87
Sc 0.7500 0.2500 0.5000  4 Sb 2.87
Al 0.2500 0.7500 0.5000  4 Sb 2.70
Al 0.5000 0.5000 0.0000  4 Sb 2.70
Sb 0.1468 0.6250 0.0218  2 Al 2.70, 2 Sc 2.87
Sb 0.3750 0.3968 0.5218  2 Al 2.70, 2 Sc 2.87
Sb 0.6032 0.1250 0.9782  2 Al 2.70, 2 Sc 2.87
Sb 0.8750 0.8532 0.4782  2 Al 2.70, 2 Sc 2.87

Properties
* space group: I-42d (122)
* relative energy among the computed polymorphs: 0.156 eV per atom
* calculated volume: 265.56 Å³/cell
* total energy: -0.356 Ry/atom
* crystal system: tetragonal
* formation energy without anion corrections: -258 meV per atom

=====

The following is a DFT calculation (GGA-PBE) of a geometry-optimized Na3LaZr structure.

abc: 5.7922 5.7922 5.7922
angles: 90.00 90.00 90.00
Last column: nearest neighbours and their distance in Å.
Fractional positions:
Na 0.0000 0.0000 0.5000  2 Zr 2.90
Na 0.0000 0.5000 0.0000  2 Zr 2.90
Na 0.5000 0.0000 0.0000  2 Zr 2.90
La 0.5000 0.5000 0.5000  12 Na 4.10
Zr 0.0000 0.0000 0.0000  6 Na 2.90

Properties
* space group: Pm-3m (221)
* relative energy among the computed polymorphs: 0.000 eV per atom
* calculated volume: 194.33 Å³/cell
* total energy: -0.172 Ry/atom
* crystal system: cubic
* energy relative to the elements: 110 kJ per mole of atoms

=====

The following is a DFT calculation (GGA-PBE) of a geometry-optimized La5Pm4Dy4 structure.

abc: 9.6885 9.6885 9.6885
angles: 94.06 94.06 149.14
Last column: nearest neighbours and their distance in Å.
Fractional positions:
La 0.0000 0.0000 0.0000  8 La 3.66, 4 Dy 3.70
La 0.3076 0.4598 0.7674  5 Dy 3.60-3.69, 3 Pm 3.65-3.68, 4 La 3.66-3.67
La 0.4598 0.6924 0.1522  5 Dy 3.60-3.69, 3 Pm 3.65-3.68, 4 La 3.66-3.67
La 0.5402 0.3076 0.8478  5 Dy 3.60-3.69, 3 Pm 3.65-3.68, 4 La 3.66-3.67
La 0.6924 0.5402 0.2326  5 Dy 3.60-3.69, 3 Pm 3.65-3.68, 4 La 3.66-3.67
Pm 0.0765 0.6151 0.6917  4 Dy 3.64-3.68, 5 Pm 3.65, 3 La 3.65-3.68
Pm 0.3849 0.0765 0.4614  4 Dy 3.64-3.68, 5 Pm 3.65, 3 La 3.65-3.68
Pm 0.6151 0.9235 0.5386  4 Dy 3.64-3.68, 5 Pm 3.65, 3 La 3.65-3.68
Pm 0.9235 0.3849 0.3083  4 Dy 3.64-3.68, 5 Pm 3.65, 3 La 3.65-3.68
Dy 0.1551 0.2335 0.3886  6 La 3.60-3.70, 2 Dy 3.62, 4 Pm 3.64-3.68
Dy 0.2335 0.8449 0.0785  6 La 3.60-3.70, 2 Dy 3.62, 4 Pm 3.64-3.68
Dy 0.7665 0.1551 0.9215  6 La 3.60-3.70, 2 Dy 3.62, 4 Pm 3.64-3.68
Dy 0.8449 0.7665 0.6114  6 La 3.60-3.70, 2 Dy 3.62, 4 Pm 3.64-3.68

Properties
* space group: I4/m (87)
* calculated volume: 449.72 Å³/cell
* total energy: -0.349 Ry/atom
* crystal system: tetragonal
* energy relative to the elements: 2 kJ per mole of atoms

=====

The following is a DFT calculation (GGA-PBE) of a geometry-optimized PuUPa2P4 structure.

abc: 6.8453 3.9582 6.8944
angles: 90.00 109.46 90.00
Last column: nearest neighbours and their distance in Å.
Fractional positions:
Pu 0.0000 0.0000 0.0000  6 P 2.80-2.81
U 0.0000 0.5000 0.5000  6 P 2.79
Pa 0.5000 0.0000 0.5000  6 P 2.80
Pa 0.5000 0.5000 0.0000  6 P 2.81-2.82
P 0.2487 0.0000 0.7475  2 U 2.79, 3 Pa 2.80-2.81, 1 Pu 2.81
P 0.2493 0.5000 0.2512  1 U 2.79, 3 Pa 2.80-2.82, 2 Pu 2.80
P 0.7513 0.0000 0.2525  2 U 2.79, 3 Pa 2.80-2.81, 1 Pu 2.81
P 0.7507 0.5000 0.7488  1 U 2.79, 3 Pa 2.80-2.82, 2 Pu 2.80

Properties
* space group: P2/m (10)
* calculated volume: 176.13 Å³/cell
* total energy: -0.697 Ry/atom
* crystal system: monoclinic
* energy relative to the elements: -116 kJ per mole of atoms